# 1
## TaSbAs2 (GGA-PBE)

Data for an optimized crystal structure of TaSbAs2.

As for the crystal system: tetragonal. The magnetization comes out at 0.000 μB per formula unit. The raw formation energy comes out at 401 meV/atom. The density of states at the Fermi level is 0.790 states/eV per atom.

```
TaSbAs2
1.0
-1.600 -2.092 4.823
3.357 -3.726 2.247
0.545 5.031 -2.142
Sb As Ta
1 2 1
Direct
0.500 0.500 0.000
0.000 0.000 0.000
0.250 0.750 0.500
0.750 0.250 0.500
```

---

# 2
## TaSbAs3 (GGA-PBE)

Data for an optimized crystal structure of TaSbAs3.

As for the crystal system: cubic. The magnetization comes out at 0.000 μB per formula unit. The raw formation energy comes out at 415 meV/atom. The offset from the most stable computed form is 0 meV per atom. The density of states at the Fermi level is 0.873 states/eV per atom.

```
TaSbAs3
1.0
-1.731 2.952 -3.667
-0.740 -4.029 -2.894
-4.649 -0.458 1.826
Sb As Ta
1 3 1
Direct
0.500 0.500 0.500
0.000 0.500 0.000
0.000 0.000 0.500
0.500 0.000 0.000
0.000 0.000 0.000
```

---

# 3
## TaSbAs2 (GGA-PBE)

Data for an optimized crystal structure of TaSbAs2.

As for the crystal system: orthorhombic. The magnetization comes out at 0.000 μB per formula unit. The raw formation energy comes out at 273 meV/atom. The density of states at the Fermi level is 0.500 states/eV per atom.

```
TaSbAs2
1.0
-0.377 5.127 -3.534
-5.239 3.288 -0.810
4.181 -2.355 3.986
Sb As Ta
1 2 1
Direct
0.750 0.250 0.500
0.066 0.066 0.000
0.434 0.434 0.000
0.250 0.750 0.500
```

---

# 4
## TaSbAs2 (GGA-PBE)

Data for an optimized crystal structure of TaSbAs2.

As for the crystal system: orthorhombic. The magnetization comes out at 0.000 μB per formula unit. The raw formation energy comes out at 414 meV/atom. The density of states at the Fermi level is 0.841 states/eV per atom.

```
TaSbAs2
1.0
3.402 0.000 0.000
0.000 5.085 0.000
0.000 0.000 4.580
Sb As Ta
1 2 1
Direct
0.500 0.000 0.500
0.000 0.000 0.000
0.500 0.500 0.000
0.000 0.500 0.500
```

---

# 5
## TaSbAs2 (GGA-PBE)

Data for an optimized crystal structure of TaSbAs2.

As for the crystal system: tetragonal. The magnetization comes out at 0.000 μB per formula unit. The raw formation energy comes out at -93 meV/atom. The density of states at the Fermi level is 0.616 states/eV per atom.

```
TaSbAs2
1.0
-0.137 2.309 -2.449
-3.331 0.264 0.435
1.014 5.047 4.702
Sb As Ta
1 2 1
Direct
0.500 0.500 0.250
0.000 0.000 0.948
0.000 0.000 0.552
0.500 0.500 0.750
```

---

# 6
## TaSbAs (GGA-PBE)

Data for an optimized crystal structure of TaSbAs.

As for the crystal system: hexagonal. The magnetization comes out at 0.000 μB per formula unit. The raw formation energy comes out at 119 meV/atom. The offset from the most stable computed form is 219 meV per atom. The density of states at the Fermi level is 0.282 states/eV per atom.

```
TaSbAs
1.0
-1.642 -4.311 -0.910
1.890 0.958 4.197
-2.808 0.843 1.072
Sb As Ta
1 1 1
Direct
0.667 0.333 0.333
0.000 0.000 0.833
0.333 0.667 0.833
```

---

# 7
## TaSbAs (GGA-PBE)

Data for an optimized crystal structure of TaSbAs.

As for the crystal system: orthorhombic. The magnetization comes out at 0.000 μB per formula unit. The raw formation energy comes out at -11 meV/atom. The offset from the most stable computed form is 89 meV per atom. The density of states at the Fermi level is 0.339 states/eV per atom.

```
TaSbAs
1.0
-4.047 6.710 -1.166
-4.625 5.020 -3.688
-2.501 -0.294 1.791
Sb As Ta
1 1 1
Direct
0.305 0.305 0.695
0.037 0.037 0.963
0.659 0.659 0.341
```

---

# 8
## TaSbAs2 (GGA-PBE)

Data for an optimized crystal structure of TaSbAs2.

As for the crystal system: monoclinic. The magnetization comes out at 0.000 μB per formula unit. The raw formation energy comes out at 228 meV/atom. The density of states at the Fermi level is 0.574 states/eV per atom.

```
TaSbAs2
1.0
4.885 0.000 0.000
0.000 3.738 0.005
0.000 0.917 4.806
Sb As Ta
1 2 1
Direct
0.500 0.250 0.250
0.000 0.955 0.926
0.000 0.545 0.574
0.500 0.750 0.750
```

---

# 9
## Ta2SbAs2 (GGA-PBE)

Data for an optimized crystal structure of Ta2SbAs2.

As for the crystal system: tetragonal. The magnetization comes out at 0.000 μB per formula unit. The raw formation energy comes out at -184 meV/atom. The offset from the most stable computed form is 0 meV per atom. The density of states at the Fermi level is 0.786 states/eV per atom.

```
Ta2SbAs2
1.0
-5.921 -4.243 2.138
2.807 -5.880 -3.896
1.660 -0.974 2.666
Sb As Ta
2 4 4
Direct
0.000 0.000 0.000
0.500 0.500 0.000
0.139 0.639 0.500
0.639 0.861 0.500
0.861 0.361 0.500
0.361 0.139 0.500
0.356 0.856 0.000
0.856 0.644 0.000
0.644 0.144 0.000
0.144 0.356 0.000
```

---

# 10
## TaSbAs (GGA-PBE)

Data for an optimized crystal structure of TaSbAs.

As for the crystal system: cubic. The magnetization comes out at 0.000 μB per formula unit. The raw formation energy comes out at 641 meV/atom. The offset from the most stable computed form is 740 meV per atom. The density of states at the Fermi level is 1.361 states/eV per atom.

```
TaSbAs
1.0
4.572 0.000 0.000
2.286 3.960 0.000
2.286 1.320 3.733
Sb As Ta
1 1 1
Direct
0.000 0.000 0.000
0.750 0.750 0.750
0.500 0.500 0.500
```

---

# 11
## TaSbAs2 (GGA-PBE)

Data for an optimized crystal structure of TaSbAs2.

As for the crystal system: tetragonal. The magnetization comes out at 0.000 μB per formula unit. The raw formation energy comes out at 16 meV/atom. The density of states at the Fermi level is 0.511 states/eV per atom.

```
TaSbAs2
1.0
-0.546 2.131 2.478
-1.092 -2.487 1.898
7.256 -1.188 2.620
Sb As Ta
1 2 1
Direct
0.000 0.000 0.552
0.000 0.000 0.969
0.500 0.500 0.172
0.500 0.500 0.806
```

---

# 12
## Ta2SbAs2 (GGA-PBE)

Data for an optimized crystal structure of Ta2SbAs2.

As for the crystal system: tetragonal. The magnetization comes out at 0.000 μB per formula unit. The raw formation energy comes out at -12 meV/atom. The offset from the most stable computed form is 172 meV per atom. The density of states at the Fermi level is 0.664 states/eV per atom.

```
Ta2SbAs2
1.0
4.765 0.000 0.000
0.000 4.765 0.000
2.383 2.383 4.443
Sb As Ta
1 2 2
Direct
0.000 0.000 0.000
0.363 0.363 0.274
0.637 0.637 0.726
0.750 0.250 0.500
0.250 0.750 0.500
```

---

# 13
## Ta2SbAs2 (GGA-PBE)

Data for an optimized crystal structure of Ta2SbAs2.

As for the crystal system: tetragonal. The magnetization comes out at 0.000 μB per formula unit. The raw formation energy comes out at 76 meV/atom. The offset from the most stable computed form is 260 meV per atom. The density of states at the Fermi level is 0.582 states/eV per atom.

```
Ta2SbAs2
1.0
-5.650 -3.679 3.611
1.948 -6.485 -3.557
2.007 -0.718 2.408
Sb As Ta
2 4 4
Direct
0.000 0.000 0.000
0.500 0.500 0.000
0.365 0.865 0.000
0.865 0.635 0.000
0.635 0.135 0.000
0.135 0.365 0.000
0.154 0.654 0.500
0.654 0.846 0.500
0.846 0.346 0.500
0.346 0.154 0.500
```

---

# 14
## TaSbAs (GGA-PBE)

Data for an optimized crystal structure of TaSbAs.

As for the crystal system: trigonal. The magnetization comes out at 0.000 μB per formula unit. The raw formation energy comes out at -100 meV/atom. The offset from the most stable computed form is 0 meV per atom. The density of states at the Fermi level is 0.175 states/eV per atom.

```
TaSbAs
1.0
3.424 0.000 0.000
-1.712 2.966 0.000
0.000 0.000 6.367
Sb As Ta
1 1 1
Direct
0.667 0.333 0.357
0.000 0.000 0.952
0.333 0.667 0.690
```

---

# 15
## TaSbAs2 (GGA-PBE)

Data for an optimized crystal structure of TaSbAs2.

As for the crystal system: monoclinic. The magnetization comes out at 0.000 μB per formula unit. The raw formation energy comes out at -15 meV/atom. The density of states at the Fermi level is 0.314 states/eV per atom.

```
TaSbAs2
1.0
4.832 0.002 0.004
3.555 3.272 0.004
0.519 0.203 5.932
Sb As Ta
1 2 1
Direct
0.444 0.444 0.542
0.044 0.044 0.908
0.255 0.255 0.187
0.757 0.757 0.863
```

---

# 16
## TaSbAs2 (GGA-PBE)

Data for an optimized crystal structure of TaSbAs2.

As for the crystal system: monoclinic. The magnetization comes out at 0.000 μB per formula unit. The raw formation energy comes out at 23 meV/atom. The density of states at the Fermi level is 0.482 states/eV per atom.

```
TaSbAs2
1.0
-0.200 4.373 1.190
-3.517 0.081 -0.889
-2.974 -1.270 4.164
Sb As Ta
1 2 1
Direct
0.000 0.533 0.564
0.000 0.796 0.029
0.500 0.232 0.159
0.500 0.940 0.748
```

---

# 17
## TaSbAs2 (GGA-PBE)

Data for an optimized crystal structure of TaSbAs2.

As for the crystal system: monoclinic. The magnetization comes out at 0.000 μB per formula unit. The raw formation energy comes out at 360 meV/atom. The density of states at the Fermi level is 0.805 states/eV per atom.

```
TaSbAs2
1.0
5.014 0.016 0.033
-1.700 4.717 0.033
1.039 1.484 3.576
Sb As Ta
1 2 1
Direct
0.500 0.000 0.500
0.000 0.000 0.000
0.500 0.500 0.000
0.000 0.500 0.500
```

---

# 18
## TaSbAs2 (GGA-PBE)

Data for an optimized crystal structure of TaSbAs2.

As for the crystal system: trigonal. The magnetization comes out at 0.000 μB per formula unit. The raw formation energy comes out at 177 meV/atom. The density of states at the Fermi level is 0.611 states/eV per atom.

```
TaSbAs2
1.0
9.221 0.046 0.027
8.623 3.266 0.027
8.623 1.600 2.847
Sb As Ta
1 2 1
Direct
0.490 0.490 0.490
0.008 0.008 0.008
0.261 0.261 0.261
0.741 0.741 0.741
```

---

# 19
## TaSbAs (GGA-PBE)

Data for an optimized crystal structure of TaSbAs.

As for the crystal system: cubic. The magnetization comes out at 0.001 μB per formula unit. The raw formation energy comes out at 325 meV/atom. The offset from the most stable computed form is 425 meV per atom. The density of states at the Fermi level is 0.680 states/eV per atom.

```
TaSbAs
1.0
-3.137 3.158 -1.345
-2.595 -0.765 -3.783
-4.541 -0.901 0.438
Sb As Ta
1 1 1
Direct
0.500 0.500 0.500
0.000 0.000 0.000
0.750 0.750 0.750
```

---

# 20
## TaSbAs3 (GGA-PBE)

Data for an optimized crystal structure of TaSbAs3.

As for the crystal system: cubic. The magnetization comes out at 0.000 μB per formula unit. The raw formation energy comes out at 1559 meV/atom. The offset from the most stable computed form is 1143 meV per atom. The density of states at the Fermi level is 1.257 states/eV per atom.

```
TaSbAs3
1.0
5.072 0.000 0.000
0.000 5.072 0.000
0.000 0.000 5.072
Sb As Ta
1 3 1
Direct
0.000 0.000 0.000
0.000 0.500 0.000
0.000 0.000 0.500
0.500 0.000 0.000
0.500 0.500 0.500
```

---

# 21
## TaSbAs2 (GGA-PBE)

Data for an optimized crystal structure of TaSbAs2.

As for the crystal system: tetragonal. The magnetization comes out at 0.000 μB per formula unit. The raw formation energy comes out at 414 meV/atom. The density of states at the Fermi level is 0.838 states/eV per atom.

```
TaSbAs2
1.0
-3.386 3.981 1.105
-4.287 -1.707 2.691
5.259 -0.643 0.681
Sb As Ta
1 2 1
Direct
0.250 0.750 0.500
0.000 0.000 0.000
0.500 0.500 0.000
0.750 0.250 0.500
```

---

# 22
## ZrTa2SbAs (GGA-PBE)

Data for an optimized crystal structure of ZrTa2SbAs.

As for the crystal system: tetragonal. The magnetization comes out at 0.000 μB per formula unit. The raw formation energy comes out at 1532 meV/atom. The density of states at the Fermi level is 1.512 states/eV per atom.

```
ZrTa2SbAs
1.0
-1.215 -4.654 -1.558
2.103 0.988 -4.590
4.452 -1.721 1.670
Sb As Zr Ta
1 1 1 2
Direct
0.000 0.000 0.000
0.000 0.500 0.000
0.500 0.500 0.500
0.000 0.000 0.500
0.500 0.000 0.000
```

---

# 23
## Tb5Sb2As2 (GGA-PBE)

Data for an optimized crystal structure of Tb5Sb2As2.

As for the crystal system: orthorhombic. The magnetization comes out at 0.000 μB per formula unit. The raw formation energy comes out at -1152 meV/atom. The density of states at the Fermi level is 0.931 states/eV per atom.

```
Tb5Sb2As2
1.0
7.971 0.000 0.000
0.000 7.026 -3.612
0.000 -0.056 8.531
Tb Sb As
10 4 4
Direct
0.000 0.000 0.000
0.500 0.500 0.000
0.841 0.787 0.257
0.159 0.470 0.257
0.341 0.970 0.257
0.659 0.287 0.257
0.159 0.213 0.743
0.841 0.530 0.743
0.659 0.030 0.743
0.341 0.713 0.743
0.000 0.202 0.405
0.500 0.702 0.405
0.000 0.798 0.595
0.500 0.298 0.595
0.644 0.854 0.000
0.356 0.146 0.000
0.144 0.646 0.000
0.856 0.354 0.000
```

---

# 24
## Tb4Sb3As (GGA-PBE)

Data for an optimized crystal structure of Tb4Sb3As.

As for the crystal system: cubic. The magnetization comes out at 0.000 μB per formula unit. The raw formation energy comes out at -1213 meV/atom. The offset from the most stable computed form is 12 meV per atom. The density of states at the Fermi level is 0.069 states/eV per atom.

```
Tb4Sb3As
1.0
-3.816 4.153 2.423
-4.024 -1.066 -4.511
-2.631 -4.393 3.385
Tb Sb As
4 3 1
Direct
0.500 0.000 0.000
0.000 0.500 0.000
0.000 0.000 0.500
0.500 0.500 0.500
0.000 0.500 0.500
0.500 0.000 0.500
0.500 0.500 0.000
0.000 0.000 0.000
```

---

# 25
## Tb4SbAs3 (GGA-PBE)

Data for an optimized crystal structure of Tb4SbAs3.

As for the crystal system: orthorhombic. The magnetization comes out at 0.000 μB per formula unit. The raw formation energy comes out at -1420 meV/atom. The density of states at the Fermi level is 0.114 states/eV per atom.

```
Tb4SbAs3
1.0
4.198 -0.052 0.071
0.053 7.000 2.038
-0.118 0.401 7.279
Sb As Tb
1 3 4
Direct
0.500 0.500 0.000
0.500 0.000 0.500
0.000 0.000 0.000
0.000 0.500 0.500
0.000 0.761 0.739
0.500 0.755 0.255
0.000 0.239 0.261
0.500 0.245 0.745
```

---

# 26
## Tb4Sb3As (GGA-PBE)

Data for an optimized crystal structure of Tb4Sb3As.

As for the crystal system: orthorhombic. The magnetization comes out at 0.000 μB per formula unit. The raw formation energy comes out at -1226 meV/atom. The offset from the most stable computed form is 0 meV per atom. The density of states at the Fermi level is 0.134 states/eV per atom.

```
Tb4Sb3As
1.0
4.329 0.000 0.000
0.000 7.118 -2.431
0.000 -0.063 7.521
Sb As Tb
3 1 4
Direct
0.000 0.000 0.500
0.500 0.500 0.500
0.000 0.500 0.000
0.500 0.000 0.000
0.000 0.239 0.239
0.500 0.756 0.244
0.000 0.761 0.761
0.500 0.244 0.756
```

---

# 27
## Tb3Sb2As (GGA-PBE)

Data for an optimized crystal structure of Tb3Sb2As.

As for the crystal system: tetragonal. The magnetization comes out at 0.000 μB per formula unit. The raw formation energy comes out at -1251 meV/atom. The density of states at the Fermi level is 0.125 states/eV per atom.

```
Tb3Sb2As
1.0
4.214 0.000 -0.960
-0.219 4.208 -0.961
-0.019 -0.019 9.645
Tb Sb As
3 2 1
Direct
0.934 0.936 0.874
0.275 0.276 0.556
0.593 0.595 0.192
0.103 0.104 0.211
0.766 0.767 0.537
0.434 0.436 0.874
```